[1]
{"formula": "TlSnPIr2", "functional": "PBE", "state": "optimized geometry", "cell": [[-2.095, 2.773, -2.753], [-2.162, -4.405, -2.793], [-3.519, 0.018, 2.697]], "species": ["Ir", "Ir", "Sn", "Tl", "P"], "fractional_positions": [[0.000, 0.000, 0.500], [0.500, 0.000, 0.000], [0.000, 0.500, 0.000], [0.500, 0.500, 0.500], [0.000, 0.000, 0.000]], "m_tot_mub_per_cell": 0.00, "formation_energy_ev_per_atom": 0.49, "total_energy_ev_per_atom": -5.411, "dos_at_fermi_per_ev_cell": 3.2, "sg": "No. 123", "polymorph_energy_ev_per_atom": 0.000}


[2]
{"formula": "TlSnPIr2", "functional": "PBE", "state": "optimized geometry", "cell": [[5.069, 0.000, 0.000], [0.000, 5.069, 0.000], [0.000, 0.000, 4.878]], "species": ["Sn", "Ir", "Ir", "Tl", "P"], "fractional_positions": [[0.500, 0.500, 0.500], [0.500, 0.000, 0.000], [0.000, 0.500, 0.000], [0.000, 0.000, 0.000], [0.000, 0.000, 0.500]], "m_tot_mub_per_cell": 1.14, "formation_energy_ev_per_atom": 1.76, "total_energy_ev_per_atom": -4.139, "dos_at_fermi_per_ev_cell": 7.0, "sg": "No. 123", "polymorph_energy_ev_per_atom": 1.272}


[3]
{"formula": "Tm2Sn2PIr4", "functional": "PBE", "state": "optimized geometry", "cell": [[-3.159, -4.403, -3.187], [4.438, 3.484, -2.774], [4.273, -1.550, 4.344]], "species": ["Ir", "Ir", "Ir", "Ir", "Sn", "Sn", "P", "Tm", "Tm"], "fractional_positions": [[0.523, 0.261, 0.261], [0.000, 0.261, 0.739], [0.000, 0.739, 0.261], [0.477, 0.739, 0.739], [0.500, 0.750, 0.250], [0.500, 0.250, 0.750], [0.000, 0.000, 0.000], [0.000, 0.708, 0.708], [0.000, 0.292, 0.292]], "m_tot_mub_per_cell": 0.00, "formation_energy_ev_per_atom": -0.32, "total_energy_ev_per_atom": -6.744, "dos_at_fermi_per_ev_cell": 8.1, "sg": "No. 139"}


[4]
{"formula": "USn2P2Ir7", "functional": "PBE", "state": "optimized geometry", "cell": [[3.904, -0.002, 0.015], [0.003, 3.904, 0.015], [1.898, 1.895, 14.792]], "species": ["Ir", "Ir", "Ir", "Ir", "Ir", "Ir", "Ir", "U", "P", "P", "Sn", "Sn"], "fractional_positions": [[0.696, 0.696, 0.612], [0.304, 0.304, 0.388], [0.070, 0.570, 0.859], [0.930, 0.430, 0.141], [0.500, 0.500, 0.000], [0.570, 0.070, 0.859], [0.430, 0.930, 0.141], [0.000, 0.000, 0.000], [0.383, 0.383, 0.234], [0.617, 0.617, 0.766], [0.788, 0.788, 0.422], [0.212, 0.212, 0.578]], "m_tot_mub_per_cell": 0.00, "formation_energy_ev_per_atom": -0.35, "total_energy_ev_per_atom": -8.026, "dos_at_fermi_per_ev_cell": 7.8, "sg": "No. 12"}


[5]
{"formula": "ZnSnP2Ir", "functional": "PBE", "state": "optimized geometry", "cell": [[4.660, 0.000, 0.000], [0.000, 4.817, 0.000], [0.000, 0.000, 4.660]], "species": ["Zn", "Ir", "P", "P", "Sn"], "fractional_positions": [[0.000, 0.500, 0.000], [0.000, 0.000, 0.000], [0.000, 0.000, 0.500], [0.500, 0.000, 0.000], [0.500, 0.500, 0.500]], "m_tot_mub_per_cell": 0.00, "formation_energy_ev_per_atom": 0.36, "total_energy_ev_per_atom": -4.628, "dos_at_fermi_per_ev_cell": 3.7, "sg": "No. 123"}


[6]
{"formula": "SrPIr2", "functional": "PBE", "state": "optimized geometry", "cell": [[-3.340, -2.161, -0.602], [0.667, -1.988, 3.434], [-2.791, 3.585, 2.618]], "species": ["Ir", "Ir", "Sr", "P"], "fractional_positions": [[0.500, 0.000, 0.193], [0.000, 0.500, 0.193], [0.500, 0.500, 0.712], [0.000, 0.000, 0.400]], "m_tot_mub_per_cell": 0.00, "formation_energy_ev_per_atom": -0.51, "total_energy_ev_per_atom": -6.714, "dos_at_fermi_per_ev_cell": 3.1, "sg": "No. 99"}